# TaFeSi2 PBE relaxed
# Uncorrected formation energy   0.09 eV/atom
# Spin magnetization   3.10 μB/cell
# Total energy   -30.805 eV/f.u.
data_TaFeSi2
_symmetry_space_group_name_H-M 'C m m 2'
_symmetry_Int_Tables_number 35
_cell_length_a 3.481
_cell_length_b 4.091
_cell_length_c 8.029
_cell_angle_alpha 90.00
_cell_angle_beta 90.00
_cell_angle_gamma 90.00
loop_
_symmetry_equiv_pos_as_xyz
'x,y,z'
'-x,-y,z'
'-x,y,z'
'x,-y,z'
'x+1/2,y+1/2,z'
'-x+1/2,-y+1/2,z'
'-x+1/2,y+1/2,z'
'x+1/2,-y+1/2,z'
loop_
_atom_site_label
_atom_site_type_symbol
_atom_site_fract_x
_atom_site_fract_y
_atom_site_fract_z
Ta1 Ta 0.000 0.000 0.000
Fe1 Fe 0.000 0.500 0.741
Si1 Si 0.000 0.000 0.537
Si2 Si 0.000 0.500 0.254